[1]
This record from the Alexandria database describes a geometry-optimized Sm2ErNpN4 structure. The functional is PBE.

Its raw total energy is -9.01 eV/atom. For the formation energy without anion corrections, the calculation gives -1.477 eV/atom. The total magnetization is 2.83 μB/cell.

The space group is P2/m (No. 10) and the conventional cell measures 6.022, 3.502 and 6.066 Å, with angles of 90.00, 108.89 and 90.00 degrees. The distinct sites, in fractional coordinates, are Sm at (0.000, 0.000, 0.000), Sm at (0.500, 0.500, 0.000), Er at (0.000, 0.500, 0.500), Np at (0.500, 0.000, 0.500), N at (0.257, 0.000, 0.726) and N at (0.262, 0.500, 0.272).

***

[2]
This record from the Alexandria database describes a geometry-optimized Sm3Er2NpN6 structure. The functional is PBE.

Its raw total energy is -8.72 eV/atom. For the formation energy without anion corrections, the calculation gives -1.537 eV/atom. The total magnetization is 4.95 μB/cell.

The space group is C2/m (No. 12) and the conventional cell measures 6.037, 10.463 and 6.076 Å, with angles of 90.00, 109.34 and 90.00 degrees. The distinct sites, in fractional coordinates, are Sm at (0.000, 0.000, 0.000), Sm at (0.000, 0.332, 0.000), Er at (0.000, 0.167, 0.500), Np at (0.000, 0.500, 0.500), N at (0.235, 0.341, 0.728) and N at (0.242, 0.500, 0.271).

***

[3]
This record from the Alexandria database describes a geometry-optimized Er2NpTaN4 structure. The functional is PBE.

Its raw total energy is -9.83 eV/atom. For the formation energy without anion corrections, the calculation gives -1.426 eV/atom. The total magnetization is 2.78 μB/cell.

The space group is P2/m (No. 10) and the conventional cell measures 5.751, 3.317 and 5.794 Å, with angles of 90.00, 108.81 and 90.00 degrees. The distinct sites, in fractional coordinates, are Er at (0.000, 0.000, 0.000), Er at (0.500, 0.500, 0.000), Np at (0.000, 0.500, 0.500), Ta at (0.500, 0.000, 0.500), N at (0.258, 0.000, 0.737) and N at (0.266, 0.500, 0.272).

***

[4]
This record from the Alexandria database describes a geometry-optimized Er2Np3TaN6 structure. The functional is PBE.

Its raw total energy is -10.47 eV/atom. For the formation energy without anion corrections, the calculation gives -1.329 eV/atom. The total magnetization is 18.13 μB/cell.

The space group is C2/m (No. 12) and the conventional cell measures 5.819, 10.081 and 5.861 Å, with angles of 90.00, 109.33 and 90.00 degrees. The distinct sites, in fractional coordinates, are Er at (0.000, 0.166, 0.000), Np at (0.000, 0.000, 0.500), Np at (0.000, 0.331, 0.500), Ta at (0.000, 0.500, 0.000), N at (0.233, 0.500, 0.756) and N at (0.236, 0.343, 0.238).

***

[5]
This record from the Alexandria database describes a geometry-optimized Tb3Er2NpN6 structure. The functional is PBE.

Its raw total energy is -8.78 eV/atom. For the formation energy without anion corrections, the calculation gives -1.620 eV/atom. The total magnetization is 5.27 μB/cell.

The space group is C2/m (No. 12) and the conventional cell measures 5.978, 10.362 and 5.985 Å, with angles of 90.00, 109.43 and 90.00 degrees. The distinct sites, in fractional coordinates, are Tb at (0.000, 0.000, 0.000), Tb at (0.000, 0.332, 0.000), Er at (0.000, 0.167, 0.500), Np at (0.000, 0.500, 0.500), N at (0.240, 0.339, 0.738) and N at (0.241, 0.500, 0.264).

***

[6]
This record from the Alexandria database describes a geometry-optimized ErNpTe2N structure. The functional is PBE.

Its raw total energy is -7.59 eV/atom. For the formation energy without anion corrections, the calculation gives -1.165 eV/atom. The total magnetization is 5.68 μB/cell.

The space group is P4/nmm (No. 129, origin choice 2) and the conventional cell measures 4.048, 4.048 and 15.818 Å, with angles of 90.00, 90.00 and 90.00 degrees. The distinct sites, in fractional coordinates, are Er at (0.250, 0.250, 0.136), Np at (0.250, 0.250, 0.567), Te at (0.250, 0.250, 0.319), Te at (0.250, 0.250, 0.918) and N at (0.250, 0.750, 0.500).